Computed, not measured: crystalline Zr2HgSb at its relaxed geometry at the PBE level of DFT.

abc: 5.1028 5.1028 5.1028
angles: 60.00 60.00 60.00
Site moments in Bohr magnetons follow the coordinates.
Fractional coordinates of all 4 atoms:
Hg 0.5000 0.5000 0.5000  0.01
Sb 0.7500 0.7500 0.7500  -0.04
Zr 0.2500 0.2500 0.2500  0.71
Zr 0.0000 0.0000 0.0000  0.51

Its crystal system is cubic. The total moment comes out at 1.74 μB/cell. The calculation puts the formation energy from raw total energies at 0.199 eV per atom.



Computed, not measured: crystalline La4RhSeCl2 at its relaxed geometry at the PBE level of DFT.

abc: 4.1202 7.3343 7.6580
angles: 71.38 90.00 90.00
Fractional coordinates of all 8 atoms:
Cl 0.0000 0.0000 0.0000
Cl 0.5000 0.0000 0.5000
La 0.0000 0.2545 0.2545
La 0.5000 0.7254 0.2746
La 0.0000 0.7455 0.7455
La 0.5000 0.2746 0.7254
Se 0.5000 0.5000 0.0000
Rh 0.0000 0.5000 0.5000

Its crystal system is monoclinic. The total moment comes out at 0.00 μB/cell. The calculation puts the formation energy from raw total energies at -1.494 eV per atom.



Computed, not measured: crystalline BaIn5I7 at its relaxed geometry at the PBE level of DFT.

abc: 4.8462 8.6239 29.3102
angles: 90.03 90.00 106.32
Fractional coordinates of all 26 atoms:
I 0.7893 0.5785 0.6827
I 0.3796 0.7592 0.9637
I 0.4426 0.8852 0.2485
I 0.2115 0.4230 0.1826
I 0.5581 0.1161 0.7486
I 0.3487 0.6973 0.5403
I 0.9354 0.8707 0.1036
I 0.8818 0.7637 0.3755
I 0.1750 0.3499 0.3222
I 0.6206 0.2413 0.4637
I 0.8258 0.6516 0.8222
I 0.1188 0.2376 0.8754
I 0.6518 0.3036 0.0401
I 0.0654 0.1308 0.6039
In 0.2572 0.5145 0.4286
In 0.9813 0.9625 0.4998
In 0.7069 0.4137 0.5736
In 0.7430 0.4859 0.9285
In 0.0190 0.0380 0.9995
In 0.4408 0.8816 0.6465
In 0.2936 0.5872 0.0736
In 0.5237 0.0473 0.3537
In 0.4768 0.9535 0.8537
In 0.5602 0.1204 0.1463
Ba 0.2091 0.4182 0.7616
Ba 0.7916 0.5833 0.2617

Its crystal system is monoclinic. The total moment comes out at 0.00 μB/cell. The calculation puts the formation energy from raw total energies at -0.754 eV per atom.